The following is a DFT calculation (PBE-GGA) of Nd4SmRh2 after structural relaxation.

## Properties
As for the energy relative to the elements: -0.3603 eV/atom.

Lattice parameters (Å, degrees): 8.0560 6.6004 8.1266 90.00 113.83 90.00
Space group P2_1/m (No. 11)
Inequivalent atoms, fractional coordinates:
Nd 0.0157 0.2500 0.3809 [2 per cell]
Nd 0.2530 0.7500 0.3404 [2 per cell]
Nd 0.4119 0.0049 0.7678 [4 per cell]
Sm 0.1531 0.2500 0.0294 [2 per cell]
Rh 0.2340 0.7500 0.9906 [2 per cell]
Rh 0.3678 0.2500 0.4040 [2 per cell]

=====

The following is a DFT calculation (PBE-GGA) of TcSeIO2 after structural relaxation.

## Properties
The energy relative to the elements, uncorrected comes out at -0.387 eV per atom.

Lattice parameters (Å, degrees): 3.8882 3.8882 5.9689 90.00 90.00 90.00
Space group P4/mmm (No. 123)
Inequivalent atoms, fractional coordinates:
Tc 0.0000 0.0000 0.0000 [1 per cell]
Se 0.5000 0.5000 0.5000 [1 per cell]
I 0.0000 0.0000 0.5000 [1 per cell]
O 0.0000 0.5000 0.0000 [2 per cell]

=====

The following is a DFT calculation (PBE-GGA) of VCrSbI2 after structural relaxation.

## Properties
The energy relative to the elements, uncorrected comes out at 0.615 eV per atom.

Lattice parameters (Å, degrees): 5.5000 5.5000 5.2752 90.00 90.00 90.00
Space group P4/mmm (No. 123)
Inequivalent atoms, fractional coordinates:
V 0.0000 0.0000 0.0000 [1 per cell]
Cr 0.5000 0.5000 0.5000 [1 per cell]
Sb 0.0000 0.0000 0.5000 [1 per cell]
I 0.0000 0.5000 0.0000 [2 per cell]

=====

The following is a DFT calculation (PBE-GGA) of IO2F2 after structural relaxation.

## Properties
The energy relative to the elements, uncorrected comes out at -0.215 eV per atom.

Lattice parameters (Å, degrees): 3.9586 3.9586 4.3337 90.00 90.00 90.00
Space group P4/mmm (No. 123)
Inequivalent atoms, fractional coordinates:
I 0.0000 0.0000 0.0000 [1 per cell]
O 0.0000 0.5000 0.0000 [2 per cell]
F 0.0000 0.0000 0.5000 [1 per cell]
F 0.5000 0.5000 0.5000 [1 per cell]

=====

Number 1: total DFT energy (no corrections) -5.859 eV per atom. Number 2: total DFT energy (no corrections) -5.451 eV per atom. Number 3: total DFT energy (no corrections) -4.578 eV per atom. Number 4: total DFT energy (no corrections) -3.257 eV per atom.